one:
VASP calculation (PBE-GGA) on crystalline YFe5P3 at its relaxed geometry.

total moment	6.07	μB/cell
DOS at the Fermi energy	0.856	states/eV per atom

a = 11.8280 Å, b = 3.6538 Å, c = 10.3086 Å
α = 90.00°, β = 90.00°, γ = 90.00°
Last column: nearest neighbours and their distance in Å.
Space group Pnma (No. 62)
Unique sites:
Y (0.2043, 0.2500, 0.0806) (multiplicity 4)  6 P 2.80-2.88, 10 Fe 2.95-3.11
Fe (0.0093, 0.7500, 0.0951) (multiplicity 4)  4 P 2.25-2.31
Fe (0.0108, 0.7500, 0.7079) (multiplicity 4)  3 P 2.25-2.47
Fe (0.0674, 0.7500, 0.4633) (multiplicity 4)  4 P 2.15-2.24
Fe (0.1764, 0.2500, 0.7803) (multiplicity 4)  4 P 2.23-2.36
Fe (0.2018, 0.2500, 0.3751) (multiplicity 4)  4 P 2.32-2.34, 4 Fe 2.52-2.59
P (0.1031, 0.7500, 0.8989) (multiplicity 4)  7 Fe 2.25-2.36
P (0.1125, 0.2500, 0.5771) (multiplicity 4)  5 Fe 2.17-2.34
P (0.1278, 0.7500, 0.2662) (multiplicity 4)  5 Fe 2.15-2.32

***

two:
VASP calculation (PBE-GGA) on crystalline YFe5P3 at its relaxed geometry.

total moment	20.91	μB/cell
DOS at the Fermi energy	0.641	states/eV per atom

a = 3.7093 Å, b = 11.8938 Å, c = 10.7084 Å
α = 90.00°, β = 90.00°, γ = 90.00°
Last column: nearest neighbours and their distance in Å.
Space group Cmcm (No. 63)
Unique sites:
Y (0.0000, 0.1749, 0.2500) (multiplicity 4)  6 P 2.92-3.19, 4 Fe 3.16
Fe (0.0000, 0.0000, 0.0000) (multiplicity 4)  6 Fe 2.36-2.43, 4 P 2.47
Fe (0.0000, 0.1903, 0.5631) (multiplicity 8)  4 P 2.14-2.30, 1 Fe 2.36
Fe (0.0000, 0.4598, 0.1391) (multiplicity 8)  4 P 2.25-2.34, 3 Fe 2.37-2.43
P (0.0000, 0.1065, 0.7500) (multiplicity 4)  6 Fe 2.24-2.34
P (0.0000, 0.3694, 0.5451) (multiplicity 8)  5 Fe 2.14-2.30

***

Most stable to least stable, the ends of the list are one and two.

***

one:
VASP calculation (PBE-GGA) on crystalline YFe3P at its relaxed geometry.

total moment	6.88	μB/cell
DOS at the Fermi energy	0.993	states/eV per atom

a = 4.6985 Å, b = 4.6985 Å, c = 4.6985 Å
α = 90.00°, β = 90.00°, γ = 90.00°
Last column: nearest neighbours and their distance in Å.
Space group Pm-3m (No. 221)
Unique sites:
Y (0.0000, 0.0000, 0.0000) (multiplicity 1)  6 Fe 2.35
Fe (0.0000, 0.0000, 0.5000) (multiplicity 3)  2 Y 2.35
P (0.5000, 0.5000, 0.5000) (multiplicity 1)  12 Fe 3.32

***

two:
VASP calculation (PBE-GGA) on crystalline YFe3P at its relaxed geometry.

total moment	0.00	μB/cell
DOS at the Fermi energy	1.337	states/eV per atom

a = 4.1949 Å, b = 4.1949 Å, c = 4.1949 Å
α = 90.00°, β = 90.00°, γ = 90.00°
Last column: nearest neighbours and their distance in Å.
Space group Pm-3m (No. 221)
Unique sites:
Y (0.0000, 0.0000, 0.0000) (multiplicity 1)  12 Fe 2.97
Fe (0.0000, 0.5000, 0.5000) (multiplicity 3)  2 P 2.10
P (0.5000, 0.5000, 0.5000) (multiplicity 1)  6 Fe 2.10

***

Most stable to least stable, the ends of the list are two and one.

***

one:
VASP calculation (PBE-GGA) on crystalline Zn3FeP at its relaxed geometry.

total moment	2.37	μB/cell
DOS at the Fermi energy	0.775	states/eV per atom

a = 4.5910 Å, b = 4.5910 Å, c = 4.5910 Å
α = 90.00°, β = 90.00°, γ = 90.00°
Last column: nearest neighbours and their distance in Å.
Space group Pm-3m (No. 221)
Unique sites:
Zn (0.0000, 0.0000, 0.5000) (multiplicity 3)  2 Fe 2.30
Fe (0.0000, 0.0000, 0.0000) (multiplicity 1)  6 Zn 2.30
P (0.5000, 0.5000, 0.5000) (multiplicity 1)  12 Zn 3.25

***

two:
VASP calculation (PBE-GGA) on crystalline Zn3FeP at its relaxed geometry.

total moment	3.34	μB/cell
DOS at the Fermi energy	1.312	states/eV per atom

a = 4.6217 Å, b = 4.6217 Å, c = 4.6217 Å
α = 90.00°, β = 90.00°, γ = 90.00°
Last column: nearest neighbours and their distance in Å.
Space group Pm-3m (No. 221)
Unique sites:
Zn (0.0000, 0.0000, 0.5000) (multiplicity 3)  2 P 2.31
Fe (0.5000, 0.5000, 0.5000) (multiplicity 1)  12 Zn 3.27
P (0.0000, 0.0000, 0.0000) (multiplicity 1)  6 Zn 2.31

***

Most stable to least stable, the ends of the list are two and one.

***

one:
VASP calculation (PBE-GGA) on crystalline ZnFe3P at its relaxed geometry.

total moment	5.35	μB/cell
DOS at the Fermi energy	0.533	states/eV per atom

a = 4.1449 Å, b = 4.1449 Å, c = 4.1449 Å
α = 90.00°, β = 90.00°, γ = 90.00°
Last column: nearest neighbours and their distance in Å.
Space group Pm-3m (No. 221)
Unique sites:
Zn (0.0000, 0.0000, 0.0000) (multiplicity 1)  12 Fe 2.93
Fe (0.0000, 0.5000, 0.5000) (multiplicity 3)  2 P 2.07
P (0.5000, 0.5000, 0.5000) (multiplicity 1)  6 Fe 2.07

***

two:
VASP calculation (PBE-GGA) on crystalline ZnFe3P at its relaxed geometry.

total moment	8.82	μB/cell
DOS at the Fermi energy	1.949	states/eV per atom

a = 4.3862 Å, b = 4.3862 Å, c = 4.3862 Å
α = 90.00°, β = 90.00°, γ = 90.00°
Last column: nearest neighbours and their distance in Å.
Space group Pm-3m (No. 221)
Unique sites:
Zn (0.0000, 0.0000, 0.0000) (multiplicity 1)  6 Fe 2.19
Fe (0.0000, 0.0000, 0.5000) (multiplicity 3)  2 Zn 2.19
P (0.5000, 0.5000, 0.5000) (multiplicity 1)  12 Fe 3.10

***

Most stable to least stable, the ends of the list are one and two.

***

one:
VASP calculation (PBE-GGA) on crystalline ZrFeP2 at its relaxed geometry.

total moment	2.09	μB/cell
DOS at the Fermi energy	0.677	states/eV per atom

a = 4.3046 Å, b = 4.3046 Å, c = 3.2270 Å
α = 90.00°, β = 90.00°, γ = 90.00°
Last column: nearest neighbours and their distance in Å.
Space group P4/mmm (No. 123)
Unique sites:
Zr (0.0000, 0.0000, 0.0000) (multiplicity 1)  8 P 2.69
Fe (0.5000, 0.5000, 0.0000) (multiplicity 1)  8 P 2.69
P (0.0000, 0.5000, 0.5000) (multiplicity 2)  4 Zr 2.69, 4 Fe 2.69

***

two:
VASP calculation (PBE-GGA) on crystalline ZrFeP2 at its relaxed geometry.

total moment	0.00	μB/cell
DOS at the Fermi energy	0.237	states/eV per atom

a = 6.2871 Å, b = 3.6352 Å, c = 5.4977 Å
α = 90.00°, β = 112.49°, γ = 90.00°
Last column: nearest neighbours and their distance in Å.
Space group C2/m (No. 12)
Unique sites:
Zr (0.0000, 0.0000, 0.0000) (multiplicity 2)  6 P 2.64
Fe (0.0000, 0.5000, 0.5000) (multiplicity 2)  6 P 2.30
P (0.2278, 0.0000, 0.6842) (multiplicity 4)  3 Fe 2.30

***

three:
VASP calculation (PBE-GGA) on crystalline ZrFeP2 at its relaxed geometry.

total moment	1.21	μB/cell
DOS at the Fermi energy	0.733	states/eV per atom

a = 2.9900 Å, b = 2.9900 Å, c = 6.3037 Å
α = 90.00°, β = 90.00°, γ = 90.00°
Last column: nearest neighbours and their distance in Å.
Space group P4/mmm (No. 123)
Unique sites:
Zr (0.0000, 0.0000, 0.0000) (multiplicity 1)  8 P 2.82, 4 Zr 2.99, 2 Fe 3.15
Fe (0.0000, 0.0000, 0.5000) (multiplicity 1)  8 P 2.47
P (0.5000, 0.5000, 0.2968) (multiplicity 2)  4 Fe 2.47, 1 P 2.56

***

Most stable to least stable, the ends of the list are two and three.

***

one:
VASP calculation (PBE-GGA) on crystalline ZrFeP2 at its relaxed geometry.

total moment	0.00	μB/cell
DOS at the Fermi energy	0.249	states/eV per atom

a = 3.3224 Å, b = 3.3465 Å, c = 10.6925 Å
α = 90.00°, β = 90.00°, γ = 90.00°
Last column: nearest neighbours and their distance in Å.
Space group Imm2 (No. 44)
Unique sites:
Zr (0.0000, 0.0000, 0.0000) (multiplicity 2)  6 P 2.61-2.63
Fe (0.0000, 0.5000, 0.7530) (multiplicity 2)  6 P 2.26-2.45
P (0.0000, 0.0000, 0.3959) (multiplicity 2)  2 Fe 2.26
P (0.0000, 0.5000, 0.1895) (multiplicity 2)  4 Fe 2.45, 2 Zr 2.63

***

two:
VASP calculation (PBE-GGA) on crystalline ZrFeP2 at its relaxed geometry.

total moment	8.03	μB/cell
DOS at the Fermi energy	0.250	states/eV per atom

a = 6.2008 Å, b = 6.2008 Å, c = 6.2008 Å
α = 90.00°, β = 90.00°, γ = 90.00°
Last column: nearest neighbours and their distance in Å.
Space group Fm-3m (No. 225)
Unique sites:
Zr (0.0000, 0.0000, 0.0000) (multiplicity 4)  8 P 2.69
Fe (0.0000, 0.0000, 0.5000) (multiplicity 4)  8 P 2.69
P (0.2500, 0.2500, 0.2500) (multiplicity 8)  4 Zr 2.69, 4 Fe 2.69

***

three:
VASP calculation (PBE-GGA) on crystalline ZrFeP2 at its relaxed geometry.

total moment	2.66	μB/cell
DOS at the Fermi energy	0.491	states/eV per atom

a = 3.7655 Å, b = 5.0084 Å, c = 6.2421 Å
α = 90.00°, β = 90.00°, γ = 90.00°
Last column: nearest neighbours and their distance in Å.
Space group Cmmm (No. 65)
Unique sites:
Zr (0.0000, 0.0000, 0.0000) (multiplicity 2)  4 P 2.62
Fe (0.0000, 0.0000, 0.5000) (multiplicity 2)  4 P 2.29
P (0.0000, 0.5000, 0.2917) (multiplicity 4)  2 Fe 2.29

***

four:
VASP calculation (PBE-GGA) on crystalline ZrFeP2 at its relaxed geometry.

total moment	0.00	μB/cell
DOS at the Fermi energy	0.677	states/eV per atom

a = 4.4512 Å, b = 4.4512 Å, c = 13.8246 Å
α = 90.00°, β = 90.00°, γ = 90.00°
Last column: nearest neighbours and their distance in Å.
Space group I-42d (No. 122)
Unique sites:
Zr (0.0000, 0.0000, 0.0000) (multiplicity 4)  4 P 2.62
Fe (0.0000, 0.0000, 0.5000) (multiplicity 4)  4 P 2.14
P (0.1361, 0.2500, 0.6250) (multiplicity 8)  2 Fe 2.14

***

Most stable to least stable, the ends of the list are one and four.

***

one:
VASP calculation (PBE-GGA) on crystalline ZrFeP2 at its relaxed geometry.

total moment	0.00	μB/cell
DOS at the Fermi energy	0.571	states/eV per atom

a = 3.6744 Å, b = 5.2269 Å, c = 6.2552 Å
α = 90.00°, β = 90.00°, γ = 90.00°
Last column: nearest neighbours and their distance in Å.
Space group Immm (No. 71)
Unique sites:
Zr (0.0000, 0.0000, 0.0000) (multiplicity 2)  8 P 2.65-2.89
Fe (0.0000, 0.0000, 0.5000) (multiplicity 2)  4 P 2.21
P (0.0000, 0.5000, 0.1954) (multiplicity 4)  2 Fe 2.21, 1 P 2.44

***

two:
VASP calculation (PBE-GGA) on crystalline ZrFeP2 at its relaxed geometry.

total moment	2.33	μB/cell
DOS at the Fermi energy	0.756	states/eV per atom

a = 3.4839 Å, b = 3.4839 Å, c = 5.2506 Å
α = 90.00°, β = 90.00°, γ = 90.00°
Last column: nearest neighbours and their distance in Å.
Space group P4mm (No. 99)
Unique sites:
Zr (0.0000, 0.0000, 0.0000) (multiplicity 1)  6 P 2.55-2.70
Fe (0.5000, 0.5000, 0.3600) (multiplicity 1)  6 P 2.55-2.67
P (0.0000, 0.0000, 0.4855) (multiplicity 1)  2 Zr 2.55-2.70, 4 Fe 2.55
P (0.5000, 0.5000, 0.8514) (multiplicity 1)  2 Fe 2.58-2.67, 4 Zr 2.58

***

Most stable to least stable, the ends of the list are one and two.

***

one:
VASP calculation (PBE-GGA) on crystalline ZrFeP2 at its relaxed geometry.

total moment	7.40	μB/cell
DOS at the Fermi energy	0.440	states/eV per atom

a = 6.2146 Å, b = 6.2146 Å, c = 6.2146 Å
α = 90.00°, β = 90.00°, γ = 90.00°
Last column: nearest neighbours and their distance in Å.
Space group F-43m (No. 216)
Unique sites:
Zr (0.0000, 0.0000, 0.0000) (multiplicity 4)  4 Fe 2.69, 4 P 2.69
Fe (0.2500, 0.2500, 0.2500) (multiplicity 4)  4 Zr 2.69, 4 P 2.69
P (0.0000, 0.0000, 0.5000) (multiplicity 4)  4 Fe 2.69, 4 P 2.69
P (0.2500, 0.2500, 0.7500) (multiplicity 4)  4 Zr 2.69, 4 P 2.69

***

two:
VASP calculation (PBE-GGA) on crystalline ZrFeP2 at its relaxed geometry.

total moment	3.38	μB/cell
DOS at the Fermi energy	0.533	states/eV per atom

a = 8.7523 Å, b = 3.1999 Å, c = 4.4733 Å
α = 90.00°, β = 104.10°, γ = 90.00°
Last column: nearest neighbours and their distance in Å.
Space group Cm (No. 8)
Unique sites:
Zr (0.0000, 0.0000, 0.0000) (multiplicity 2)  7 P 2.61-2.76, 1 Fe 2.83
Fe (0.2775, 0.5000, 0.4236) (multiplicity 2)  4 P 2.35-2.40
P (0.2545, 0.0000, 0.7939) (multiplicity 2)  2 Fe 2.35, 1 Zr 2.61
P (0.4874, 0.0000, 0.4955) (multiplicity 2)  3 Fe 2.40-2.64

***

Most stable to least stable, the ends of the list are two and one.

***

one:
VASP calculation (PBE-GGA) on crystalline ZrFe3P at its relaxed geometry.

total moment	1.11	μB/cell
DOS at the Fermi energy	0.502	states/eV per atom

a = 4.1162 Å, b = 4.1162 Å, c = 4.1162 Å
α = 90.00°, β = 90.00°, γ = 90.00°
Last column: nearest neighbours and their distance in Å.
Space group Pm-3m (No. 221)
Unique sites:
Zr (0.0000, 0.0000, 0.0000) (multiplicity 1)  12 Fe 2.91
Fe (0.0000, 0.5000, 0.5000) (multiplicity 3)  2 P 2.06
P (0.5000, 0.5000, 0.5000) (multiplicity 1)  6 Fe 2.06

***

two:
VASP calculation (PBE-GGA) on crystalline ZrFe3P at its relaxed geometry.

total moment	6.06	μB/cell
DOS at the Fermi energy	1.261	states/eV per atom

a = 4.5943 Å, b = 4.5943 Å, c = 4.5943 Å
α = 90.00°, β = 90.00°, γ = 90.00°
Last column: nearest neighbours and their distance in Å.
Space group Pm-3m (No. 221)
Unique sites:
Zr (0.0000, 0.0000, 0.0000) (multiplicity 1)  6 Fe 2.30
Fe (0.0000, 0.0000, 0.5000) (multiplicity 3)  2 Zr 2.30
P (0.5000, 0.5000, 0.5000) (multiplicity 1)  12 Fe 3.25

***

Most stable to least stable, the ends of the list are one and two.

***

one:
VASP calculation (PBE-GGA) on crystalline Pa3Fe at its relaxed geometry.

total moment	0.00	μB/cell
DOS at the Fermi energy	1.652	states/eV per atom

a = 3.3327 Å, b = 9.2918 Å, c = 5.5745 Å
α = 90.00°, β = 90.00°, γ = 90.00°
Last column: nearest neighbours and their distance in Å.
Space group Imm2 (No. 44)
Unique sites:
Pa (0.0000, 0.0000, 0.0000) (multiplicity 2)  2 Fe 2.73
Pa (0.0000, 0.2009, 0.5342) (multiplicity 4)  2 Fe 2.63
Fe (0.0000, 0.5000, 0.8880) (multiplicity 2)  6 Pa 2.63-2.73

***

two:
VASP calculation (PBE-GGA) on crystalline Pa3Fe at its relaxed geometry.

total moment	0.00	μB/cell
DOS at the Fermi energy	1.814	states/eV per atom

a = 3.0878 Å, b = 3.2248 Å, c = 8.7393 Å
α = 90.00°, β = 90.00°, γ = 90.00°
Last column: nearest neighbours and their distance in Å.
Space group Pmm2 (No. 25)
Unique sites:
Pa (0.0000, 0.0000, 0.0000) (multiplicity 1)  10 Pa 3.09-3.34
Pa (0.0000, 0.5000, 0.3061) (multiplicity 1)  4 Fe 2.79, 4 Pa 3.09-3.12
Pa (0.5000, 0.5000, 0.7154) (multiplicity 1)  2 Fe 2.49
Fe (0.5000, 0.0000, 0.4981) (multiplicity 1)  2 Pa 2.49

***

Most stable to least stable, the ends of the list are one and two.

***

one:
VASP calculation (PBE-GGA) on crystalline Pa2FePd at its relaxed geometry.

total moment	0.00	μB/cell
DOS at the Fermi energy	1.863	states/eV per atom

a = 3.3537 Å, b = 3.3537 Å, c = 6.9753 Å
α = 90.00°, β = 90.00°, γ = 90.00°
Last column: nearest neighbours and their distance in Å.
Space group P4/mmm (No. 123)
Unique sites:
Pa (0.0000, 0.0000, 0.2166) (multiplicity 2)  4 Fe 2.81, 1 Pa 3.02, 4 Pd 3.09
Fe (0.5000, 0.5000, 0.0000) (multiplicity 1)  8 Pa 2.81
Pd (0.5000, 0.5000, 0.5000) (multiplicity 1)  8 Pa 3.09, 4 Pd 3.35

***

two:
VASP calculation (PBE-GGA) on crystalline Pa2FePd at its relaxed geometry.

total moment	1.73	μB/cell
DOS at the Fermi energy	1.747	states/eV per atom

a = 3.4930 Å, b = 3.4930 Å, c = 25.6606 Å
α = 90.00°, β = 90.00°, γ = 120.00°
Last column: nearest neighbours and their distance in Å.
Space group R-3m (No. 166, hexagonal axes)
Unique sites:
Pa (0.0000, 0.0000, 0.1040) (multiplicity 6)  3 Fe 2.58, 1 Pd 2.67
Fe (0.0000, 0.0000, 0.5000) (multiplicity 3)  6 Pa 2.58
Pd (0.0000, 0.0000, 0.0000) (multiplicity 3)  2 Pa 2.67

***

Most stable to least stable, the ends of the list are one and two.